Tm4CoBi: relaxed, PBE.

abc: 8.340 3.746 19.720
angles: 90.00 90.00 90.00
Space group Pnma (No. 62)
Inequivalent atoms, fractional coordinates:
Tm 0.035 0.250 0.067 x4
Tm 0.063 0.750 0.212 x4
Tm 0.125 0.750 0.645 x4
Tm 0.145 0.750 0.457 x4
Co 0.221 0.250 0.554 x4
Bi 0.245 0.750 0.817 x4

Properties
- polymorph energy (0 for the lowest one) (meV/atom) = 0
- DOS at the Fermi energy (states/eV per cell) = 21.53
- total moment (μB/atom) = 0.000
- calculated formation energy (eV per atom) = -0.38
- V (Å³ per cell) = 616